1.
VASP calculation (PBE-GGA) on crystalline La7Si6 at its relaxed geometry.

Lattice parameters (Å, degrees): 9.046 9.046 9.046 47.84 47.84 47.84
Fractional positions:
1 Si 0.859 0.859 0.859
2 Si 0.141 0.141 0.141
3 Si 0.335 0.335 0.335
4 Si 0.953 0.953 0.953
5 Si 0.665 0.665 0.665
6 Si 0.047 0.047 0.047
7 La 0.500 0.500 0.500
8 La 0.407 0.407 0.929
9 La 0.407 0.929 0.407
10 La 0.593 0.071 0.593
11 La 0.593 0.593 0.071
12 La 0.071 0.593 0.593
13 La 0.929 0.407 0.407

Calculated values
**Total magnetization**: 0.000 μB per formula unit
**Symmetry**: R-3m
**E_form (uncorrected)**: 84 kJ/mol of formula units



2.
VASP calculation (PBE-GGA) on crystalline TbPmPrCd at its relaxed geometry.

Lattice parameters (Å, degrees): 5.570 5.570 5.570 60.00 60.00 60.00
Fractional positions:
1 Pr 0.500 0.500 0.500
2 Tb 0.750 0.750 0.750
3 Pm 0.000 0.000 0.000
4 Cd 0.250 0.250 0.250

Calculated values
**Total magnetization**: 0.000 μB per formula unit
**Relative energy among the computed polymorphs**: 0.112 eV/atom
**Symmetry**: F-43m
**Formation enthalpy at 0 K**: -0.88 kcal/mol of atoms



3.
VASP calculation (PBE-GGA) on crystalline Sm6SbAs2Se3 at its relaxed geometry.

Lattice parameters (Å, degrees): 4.241 8.497 9.493 102.81 102.91 90.00
Fractional positions:
1 As 0.167 0.335 0.335
2 As 0.833 0.665 0.665
3 Se 0.164 0.833 0.329
4 Se 0.500 0.500 0.000
5 Se 0.836 0.167 0.671
6 Sm 0.329 0.904 0.658
7 Sm 0.996 0.739 0.992
8 Sm 0.670 0.577 0.340
9 Sm 0.004 0.261 0.008
10 Sm 0.671 0.096 0.342
11 Sm 0.330 0.423 0.660
12 Sb 0.500 0.000 0.000

Calculated values
**Total magnetization**: 0.000 μB per formula unit
**Symmetry**: C2/m
**E_form (uncorrected)**: -1909 kJ/mol of formula units



4.
VASP calculation (PBE-GGA) on crystalline Ho2Er5Th3 at its relaxed geometry.

Lattice parameters (Å, degrees): 5.009 6.103 12.819 61.00 78.73 65.77
Fractional positions:
1 Er 0.300 0.500 0.899
2 Er 0.200 0.000 0.600
3 Er 0.000 0.000 0.000
4 Er 0.700 0.500 0.101
5 Er 0.800 0.000 0.400
6 Ho 0.598 0.005 0.799
7 Ho 0.402 0.995 0.201
8 Th 0.500 0.500 0.500
9 Th 0.099 0.504 0.299
10 Th 0.901 0.496 0.701

Calculated values
**Total magnetization**: 0.000 μB per formula unit
**Symmetry**: C2/m
**Formation enthalpy at 0 K**: 0.72 kcal/mol of atoms



5.
VASP calculation (PBE-GGA) on crystalline Ba2HgBr at its relaxed geometry.

Lattice parameters (Å, degrees): 8.114 8.114 8.114 145.62 145.62 49.41
Fractional positions:
1 Br 0.500 0.500 0.000
2 Ba 0.000 0.000 0.000
3 Ba 0.250 0.750 0.500
4 Hg 0.750 0.250 0.500

Calculated values
**Total magnetization**: 0.000 μB per formula unit
**Relative energy among the computed polymorphs**: 0.178 eV/atom
**Symmetry**: I-4m2
**E_form (uncorrected)**: -329 kJ/mol of formula units



6.
VASP calculation (PBE-GGA) on crystalline DyTl2Pd at its relaxed geometry.

Lattice parameters (Å, degrees): 4.794 4.430 4.430 90.00 90.00 90.00
Fractional positions:
1 Tl 0.000 0.000 0.500
2 Tl 0.000 0.500 0.000
3 Dy 0.500 0.500 0.500
4 Pd 0.500 0.000 0.000

Calculated values
**Total magnetization**: 0.000 μB per formula unit
**Symmetry**: P4/mmm
**Formation enthalpy at 0 K**: -7.15 kcal/mol of atoms



7.
VASP calculation (PBE-GGA) on crystalline Ti2MnI at its relaxed geometry.

Lattice parameters (Å, degrees): 5.774 5.774 7.047 65.81 65.81 90.00
Fractional positions:
1 Ti 0.375 0.478 0.750
2 Ti 0.522 0.125 0.250
3 Ti 0.228 0.625 0.250
4 Ti 0.875 0.772 0.750
5 Mn 0.500 0.500 0.000
6 Mn 0.250 0.750 0.500
7 I 0.750 0.250 0.500
8 I 0.000 0.000 0.000

Calculated values
**Total magnetization**: 0.000 μB per formula unit
**Relative energy among the computed polymorphs**: 0.152 eV/atom
**Symmetry**: I-42d
**E_form (uncorrected)**: 271 kJ/mol of formula units



8.
VASP calculation (PBE-GGA) on crystalline AlZnGa at its relaxed geometry.

Lattice parameters (Å, degrees): 2.932 4.903 7.456 108.46 100.38 90.27
Fractional positions:
1 Al 0.912 0.600 0.791
2 Al 0.245 0.593 0.452
3 Zn 0.580 0.597 0.122
4 Zn 0.080 0.097 0.122
5 Ga 0.414 0.099 0.793
6 Ga 0.745 0.094 0.450

Calculated values
**Total magnetization**: 0.000 μB per formula unit
**Symmetry**: P-1
**Formation enthalpy at 0 K**: 0.95 kcal/mol of atoms